DFT (PBE) results for LaSm3Au2 after structural relaxation.

The formation energy comes out at -45.76 kJ/mol of atoms. The calculation puts the calculated volume at 29.0 A^3/atom. The value obtained for the size of the total moment is 0.00 μB per formula unit.

Structure (POSCAR):
```
LaSm3Au2
1.0
5.312 0.000 0.000
-2.656 9.085 -0.629
0.000 -4.684 7.527
La Sm Au
2 6 4
direct
0.867 0.735 0.934
0.133 0.265 0.066
0.305 0.610 0.618
0.938 0.875 0.601
0.623 0.245 0.730
0.377 0.755 0.270
0.062 0.125 0.399
0.695 0.390 0.382
0.502 0.003 0.842
0.498 0.997 0.158
0.781 0.562 0.172
0.219 0.438 0.828
```